TbErSc2 PBE optimized geometry; offset from the most stable computed form = 10 meV/atom; energy relative to the elements = 0.213 eV per formula unit
1.0
3.4366 0.0000 0.0000
1.7183 2.9762 0.0000
1.7183 0.9921 10.8778
Sc Er Tb
2 1 1
Direct
0.0829 0.0829 0.7513
0.2503 0.2503 0.2490
0.6663 0.6663 0.0011
0.5005 0.5005 0.4986



TbEr8Sc3 PBE optimized geometry; energy relative to the elements = 8.465 eV per formula unit
1.0
6.4957 0.0000 -3.6745
-2.0786 6.1541 -3.6745
0.8301 1.1565 9.0461
Er Tb Sc
8 1 3
Direct
0.6188 0.6188 0.7453
0.1265 0.6188 0.7453
0.3812 0.8735 0.2547
0.6188 0.1265 0.7453
0.3812 0.3812 0.2547
0.1265 0.1265 0.7453
0.8735 0.3812 0.2547
0.8735 0.8735 0.2547
0.0000 0.0000 0.0000
0.5000 0.5000 0.0000
0.2500 0.7500 0.5000
0.7500 0.2500 0.5000



In the order shown, the computed E_tot values come out to -5.411, -4.305 eV per atom.
In the order shown, the computed total magnetic moment values come out to 0.0, 0.0 Bohr magnetons per cell.